Material: SrPtCl
Method: DFT, GGA-PBE
State: optimized geometry

Results
formation energy (no corrections): -2.01 eV/f.u.
M_tot: 0.00 Bohr magnetons per cell
energy: -11.575 eV per cell
space group: P3m1, No. 156

Cell: 3.785 3.785 6.889 Å, 90.00 90.00 120.00°
Element x y z (fractional)
Sr (0.000, 0.000, 0.000)
Pt (0.667, 0.333, 0.690)
Cl (0.333, 0.667, 0.265)


Material: MgSc3Tc2
Method: DFT, GGA-PBE
State: optimized geometry

Results
energy relative to the elements: -0.147 eV per atom
M_tot: 0.00 Bohr magnetons per cell
energy: -42.202 eV per cell
space group: P4/mmm, No. 123

Cell: 3.321 3.321 10.534 Å, 90.00 90.00 90.00°
Element x y z (fractional)
Mg (0.000, 0.000, 0.000)
Sc (0.500, 0.500, 0.211)
Sc (0.500, 0.500, 0.500)
Sc (0.500, 0.500, 0.789)
Tc (0.000, 0.000, 0.343)
Tc (0.000, 0.000, 0.657)


Material: LiY2V2
Method: DFT, GGA-PBE
State: optimized geometry

Results
energy relative to the elements: 0.386 eV per atom
M_tot: 1.78 Bohr magnetons per cell
energy: -62.300 eV per cell
space group: P4/mbm, No. 127

Cell: 8.272 8.272 3.467 Å, 90.00 90.00 90.00°
Element x y z (fractional)
Li (0.000, 0.000, 0.000)
Li (0.500, 0.500, 0.000)
Y (0.202, 0.298, 0.500)
Y (0.298, 0.798, 0.500)
Y (0.702, 0.202, 0.500)
Y (0.798, 0.702, 0.500)
V (0.082, 0.582, 0.000)
V (0.418, 0.082, 0.000)
V (0.582, 0.918, 0.000)
V (0.918, 0.418, 0.000)


Material: BaCe4Pd3S12
Method: DFT, GGA-PBE
State: optimized geometry

Results
formation energy (no corrections): -25.15 eV/f.u.
M_tot: 0.00 Bohr magnetons per cell
energy: -115.914 eV per cell
space group: Im-3, No. 204

Cell: 8.584 8.584 8.584 Å, 109.47 109.47 109.47°
Element x y z (fractional)
Ba (0.000, 0.000, 0.000)
Ce (0.000, 0.000, 0.500)
Ce (0.000, 0.500, 0.000)
Ce (0.500, 0.000, 0.000)
Ce (0.500, 0.500, 0.500)
Pd (0.000, 0.500, 0.500)
Pd (0.500, 0.000, 0.500)
Pd (0.500, 0.500, 0.000)
S (0.155, 0.472, 0.317)
S (0.155, 0.838, 0.683)
S (0.162, 0.317, 0.845)
S (0.317, 0.155, 0.472)
S (0.317, 0.845, 0.162)
S (0.472, 0.317, 0.155)
S (0.528, 0.683, 0.845)
S (0.683, 0.155, 0.838)
S (0.683, 0.845, 0.528)
S (0.838, 0.683, 0.155)
S (0.845, 0.162, 0.317)
S (0.845, 0.528, 0.683)


Material: CoMoC2
Method: DFT, GGA-PBE
State: optimized geometry

Results
energy relative to the elements: 0.954 eV per atom
M_tot: 0.00 Bohr magnetons per cell
energy: -32.569 eV per cell
space group: Fm-3m, No. 225

Cell: 3.696 3.696 3.696 Å, 60.00 60.00 60.00°
Element x y z (fractional)
Co (0.000, 0.000, 0.000)
Mo (0.500, 0.500, 0.500)
C (0.250, 0.250, 0.250)
C (0.750, 0.750, 0.750)


Material: TiCdS2
Method: DFT, GGA-PBE
State: optimized geometry

Results
formation energy (no corrections): -2.74 eV/f.u.
M_tot: 3.93 Bohr magnetons per cell
energy: -39.608 eV per cell
space group: I-42d, No. 122

Cell: 7.093 7.093 7.093 Å, 131.90 131.90 70.39°
Element x y z (fractional)
Ti (0.000, 0.000, 0.000)
Ti (0.750, 0.250, 0.500)
Cd (0.250, 0.750, 0.500)
Cd (0.500, 0.500, 0.000)
S (0.097, 0.625, 0.972)
S (0.375, 0.347, 0.472)
S (0.653, 0.125, 0.028)
S (0.875, 0.903, 0.528)


Material: SrMoSe2N
Method: DFT, GGA-PBE
State: optimized geometry

Results
formation energy (no corrections): -3.50 eV/f.u.
M_tot: 0.10 Bohr magnetons per cell
energy: -31.303 eV per cell
space group: P4/mmm, No. 123

Cell: 5.200 5.200 3.884 Å, 90.00 90.00 90.00°
Element x y z (fractional)
Sr (0.000, 0.000, 0.000)
Mo (0.500, 0.500, 0.500)
Se (0.000, 0.500, 0.500)
Se (0.500, 0.000, 0.500)
N (0.500, 0.500, 0.000)


Material: Cs3Zr5S12
Method: DFT, GGA-PBE
State: optimized geometry

Results
formation energy (no corrections): -25.49 eV/f.u.
M_tot: 0.00 Bohr magnetons per cell
energy: -481.283 eV per cell
space group: Ia-3d, No. 230

Cell: 14.671 14.671 14.671 Å, 109.47 109.47 109.47°
Element x y z (fractional)
Cs (0.125, 0.250, 0.375)
Cs (0.125, 0.375, 0.750)
Cs (0.250, 0.375, 0.125)
Cs (0.250, 0.875, 0.625)
Cs (0.375, 0.125, 0.250)
Cs (0.375, 0.750, 0.125)
Cs (0.625, 0.250, 0.875)
Cs (0.625, 0.875, 0.750)
Cs (0.750, 0.125, 0.375)
Cs (0.750, 0.625, 0.875)
Cs (0.875, 0.625, 0.250)
Cs (0.875, 0.750, 0.625)
Zr (0.000, 0.000, 0.000)
Zr (0.000, 0.000, 0.500)
Zr (0.000, 0.500, 0.000)
Zr (0.000, 0.500, 0.500)
Zr (0.125, 0.750, 0.875)
Zr (0.125, 0.875, 0.250)
Zr (0.250, 0.125, 0.875)
Zr (0.250, 0.625, 0.375)
Zr (0.375, 0.250, 0.625)
Zr (0.375, 0.625, 0.750)
Zr (0.500, 0.000, 0.000)
Zr (0.500, 0.000, 0.500)
Zr (0.500, 0.500, 0.000)
Zr (0.500, 0.500, 0.500)
Zr (0.625, 0.375, 0.250)
Zr (0.625, 0.750, 0.375)
Zr (0.750, 0.375, 0.625)
Zr (0.750, 0.875, 0.125)
Zr (0.875, 0.125, 0.750)
Zr (0.875, 0.250, 0.125)
S (0.001, 0.183, 0.102)
S (0.001, 0.318, 0.899)
S (0.082, 0.683, 0.682)
S (0.082, 0.898, 0.399)
S (0.101, 0.602, 0.418)
S (0.101, 0.999, 0.682)
S (0.102, 0.001, 0.183)
S (0.102, 0.601, 0.918)
S (0.182, 0.183, 0.582)
S (0.182, 0.499, 0.601)
S (0.183, 0.102, 0.001)
S (0.183, 0.582, 0.182)
S (0.317, 0.318, 0.918)
S (0.317, 0.499, 0.398)
S (0.318, 0.899, 0.001)
S (0.318, 0.918, 0.317)
S (0.398, 0.317, 0.499)
S (0.398, 0.582, 0.899)
S (0.399, 0.082, 0.898)
S (0.399, 0.818, 0.501)
S (0.418, 0.101, 0.602)
S (0.418, 0.818, 0.817)
S (0.499, 0.398, 0.317)
S (0.499, 0.601, 0.182)
S (0.501, 0.399, 0.818)
S (0.501, 0.602, 0.683)
S (0.582, 0.182, 0.183)
S (0.582, 0.899, 0.398)
S (0.601, 0.182, 0.499)
S (0.601, 0.918, 0.102)
S (0.602, 0.418, 0.101)
S (0.602, 0.683, 0.501)
S (0.682, 0.082, 0.683)
S (0.682, 0.101, 0.999)
S (0.683, 0.501, 0.602)
S (0.683, 0.682, 0.082)
S (0.817, 0.418, 0.818)
S (0.817, 0.898, 0.999)
S (0.818, 0.501, 0.399)
S (0.818, 0.817, 0.418)
S (0.898, 0.399, 0.082)
S (0.898, 0.999, 0.817)
S (0.899, 0.001, 0.318)
S (0.899, 0.398, 0.582)
S (0.918, 0.102, 0.601)
S (0.918, 0.317, 0.318)
S (0.999, 0.682, 0.101)
S (0.999, 0.817, 0.898)